The following is a DFT calculation (SCAN) of a crystal of LiSb4As relaxed with PBEsol.

Computed properties:
**DFT total energy**: -169.5 eV for the cell shown
**V**: 26.844 Å³ per atom
**Density of states at the Fermi level**: 3.813 states/eV/f.u.
**Symmetry**: F-43m
**Total magnetization**: 0.00 μB/atom

a b c (Å): 6.1071 6.1071 6.1071
angles (deg): 60.00 60.00 60.00
Sites, in units of the cell vectors:
Sb: 0.3757 0.3757 0.3757
Sb: 0.8729 0.3757 0.3757
Sb: 0.3757 0.8729 0.3757
Li: 0.0000 0.0000 0.0000
As: 0.7500 0.7500 0.7500
Sb: 0.3757 0.3757 0.8729

The following is a DFT calculation (SCAN) of a crystal of Li2SbAs relaxed with PBEsol.

Computed properties:
**V**: 18.304 Å³ per atom
**Excess energy over the best structure of this formula in the dataset**: 0.004 eV/atom
**Density of states at the Fermi level**: 1.418 states/eV/f.u.
**Symmetry**: I4/mmm
**Total magnetization**: 0.00 μB/atom

a b c (Å): 4.2187 4.2187 5.0816
angles (deg): 114.53 114.53 90.00
Sites, in units of the cell vectors:
Li: 0.2500 0.7500 0.5000
As: 0.5000 0.5000 0.0000
Sb: 0.0000 0.0000 0.0000
Li: 0.7500 0.2500 0.5000

The following is a DFT calculation (SCAN) of a crystal of Li2SbAs relaxed with PBEsol.

Computed properties:
**V**: 18.270 Å³ per atom
**Excess energy over the best structure of this formula in the dataset**: 0.000 eV/atom
**Density of states at the Fermi level**: 0.969 states/eV/f.u.
**Symmetry**: P4/mmm
**Total magnetization**: 0.00 μB/atom

a b c (Å): 4.0898 4.2271 4.2271
angles (deg): 90.00 90.00 90.00
Sites, in units of the cell vectors:
Sb: 0.5000 0.5000 0.5000
Li: 0.0000 0.5000 0.0000
Li: 0.0000 0.0000 0.5000
As: 0.5000 0.0000 0.0000

The following is a DFT calculation (SCAN) of a crystal of Li2SbAs relaxed with PBEsol.

Computed properties:
**V**: 18.250 Å³ per atom
**Excess energy over the best structure of this formula in the dataset**: 0.009 eV/atom
**Density of states at the Fermi level**: 1.207 states/eV/f.u.
**Symmetry**: Pmmm
**Total magnetization**: 0.00 μB/atom

a b c (Å): 3.0970 4.0204 5.8629
angles (deg): 90.00 90.01 90.00
Sites, in units of the cell vectors:
Li: 0.0009 0.0000 0.2733
Li: 0.9991 0.0000 0.7267
Sb: 0.5000 0.5000 0.0000
As: 0.5000 0.5000 0.5000

The following is a DFT calculation (SCAN) of a crystal of LiSbAs2 relaxed with PBEsol.

Computed properties:
**DFT total energy**: -80.6 eV for the cell shown
**V**: 20.128 Å³ per atom
**Density of states at the Fermi level**: 1.203 states/eV/f.u.
**Symmetry**: Pmmm
**Total magnetization**: 0.00 μB/atom

a b c (Å): 2.9250 3.9011 7.0560
angles (deg): 90.00 90.00 90.00
Sites, in units of the cell vectors:
As: 0.0000 0.0000 0.3010
Sb: 0.0000 0.5000 0.0000
Li: 0.5000 0.5000 0.5000
As: 0.0000 0.0000 0.6990

The following is a DFT calculation (SCAN) of a crystal of LiSbAs2 relaxed with PBEsol.

Computed properties:
**DFT total energy**: -80.1 eV for the cell shown
**V**: 20.520 Å³ per atom
**Density of states at the Fermi level**: 1.315 states/eV/f.u.
**Symmetry**: P4mm
**Total magnetization**: 0.00 μB/atom

a b c (Å): 3.3060 3.3060 7.5100
angles (deg): 90.00 90.00 90.01
Sites, in units of the cell vectors:
As: 0.5000 0.5000 0.7657
Li: 0.0000 0.0000 0.5340
Sb: 0.5000 0.5000 0.2747
As: 0.0000 0.0000 0.9256

The following is a DFT calculation (SCAN) of a crystal of LiScAs2 relaxed with PBEsol.

Computed properties:
**V**: 17.702 Å³ per atom
**Excess energy over the best structure of this formula in the dataset**: 0.187 eV/atom
**Density of states at the Fermi level**: 3.405 states/eV/f.u.
**ΔH_f (0 K)**: -0.69 eV/atom
**Symmetry**: Fm-3m
**Total magnetization**: 0.00 μB/atom

a b c (Å): 4.6438 4.6438 4.6438
angles (deg): 60.00 60.00 60.00
Sites, in units of the cell vectors:
As: 0.2500 0.2500 0.2500
Li: 0.0000 0.0000 0.0000
Sc: 0.5000 0.5000 0.5000
As: 0.7500 0.7500 0.7500

The following is a DFT calculation (SCAN) of a crystal of Li2ScAs relaxed with PBEsol.

Computed properties:
**V**: 18.460 Å³ per atom
**Density of states at the Fermi level**: 2.419 states/eV/f.u.
**ΔH_f (0 K)**: -0.51 eV/atom
**Symmetry**: I-42d
**Total magnetization**: 0.00 μB/atom

a b c (Å): 3.8137 3.8137 10.5055
angles (deg): 100.46 100.46 90.00
Sites, in units of the cell vectors:
Sc: 0.7500 0.2500 0.5000
Li: 0.3353 0.3750 0.2500
As: 0.0000 0.0000 0.0000
Sc: 0.5000 0.5000 0.0000
As: 0.2500 0.7500 0.5000
Li: 0.6250 0.0853 0.7500
Li: 0.1250 0.6647 0.7500
Li: 0.9147 0.8750 0.2500

- Which of these has the lowest density of states at the Fermi level?
  number 3

- V of number 1 (LiSb4As)?
  26.844 Å³ per atom

- Look up the V of the eighth one.
  18.460 Å³ per atom